No. 1
LiLa3N3, relaxed, DFT PBE; space-group type = No. 123; formation energy (no corrections) = -1.0868 eV/atom; calculated total energy = -49.28 eV/cell
1.0
3.757 0.000 0.000
0.000 3.757 0.000
0.000 0.000 9.161
Li La N
1 3 3
direct
0.000 0.000 0.000 Li
0.000 0.000 0.500 La
0.500 0.500 0.226 La
0.500 0.500 0.774 La
0.000 0.000 0.221 N
0.000 0.000 0.779 N
0.500 0.500 0.500 N

No. 2
Li3La12N5, relaxed, DFT PBE; space-group type = No. 230; formation energy (no corrections) = -0.5512 eV/atom; calculated total energy = -470.09 eV/cell
1.0
-8.261 8.261 8.261
8.261 -8.261 8.261
8.261 8.261 -8.261
Li La N
12 48 20
direct
0.125 0.250 0.375 Li
0.125 0.375 0.750 Li
0.250 0.375 0.125 Li
0.250 0.875 0.625 Li
0.375 0.125 0.250 Li
0.375 0.750 0.125 Li
0.625 0.250 0.875 Li
0.625 0.875 0.750 Li
0.750 0.125 0.375 Li
0.750 0.625 0.875 Li
0.875 0.625 0.250 Li
0.875 0.750 0.625 Li
0.008 0.194 0.106 La
0.008 0.313 0.902 La
0.088 0.694 0.687 La
0.088 0.894 0.402 La
0.098 0.606 0.412 La
0.098 0.992 0.687 La
0.106 0.008 0.194 La
0.106 0.598 0.912 La
0.187 0.194 0.588 La
0.187 0.492 0.598 La
0.194 0.106 0.008 La
0.194 0.588 0.187 La
0.306 0.313 0.912 La
0.306 0.492 0.394 La
0.313 0.902 0.008 La
0.313 0.912 0.306 La
0.394 0.306 0.492 La
0.394 0.588 0.902 La
0.402 0.088 0.894 La
0.402 0.813 0.508 La
0.412 0.098 0.606 La
0.412 0.813 0.806 La
0.492 0.394 0.306 La
0.492 0.598 0.187 La
0.508 0.402 0.813 La
0.508 0.606 0.694 La
0.588 0.187 0.194 La
0.588 0.902 0.394 La
0.598 0.187 0.492 La
0.598 0.912 0.106 La
0.606 0.412 0.098 La
0.606 0.694 0.508 La
0.687 0.088 0.694 La
0.687 0.098 0.992 La
0.694 0.508 0.606 La
0.694 0.687 0.088 La
0.806 0.412 0.813 La
0.806 0.894 0.992 La
0.813 0.508 0.402 La
0.813 0.806 0.412 La
0.894 0.402 0.088 La
0.894 0.992 0.806 La
0.902 0.008 0.313 La
0.902 0.394 0.588 La
0.912 0.106 0.598 La
0.912 0.306 0.313 La
0.992 0.687 0.098 La
0.992 0.806 0.894 La
0.000 0.000 0.000 N
0.000 0.000 0.500 N
0.000 0.500 0.000 N
0.000 0.500 0.500 N
0.125 0.750 0.875 N
0.125 0.875 0.250 N
0.250 0.125 0.875 N
0.250 0.625 0.375 N
0.375 0.250 0.625 N
0.375 0.625 0.750 N
0.500 0.000 0.000 N
0.500 0.000 0.500 N
0.500 0.500 0.000 N
0.500 0.500 0.500 N
0.625 0.375 0.250 N
0.625 0.750 0.375 N
0.750 0.375 0.625 N
0.750 0.875 0.125 N
0.875 0.125 0.750 N
0.875 0.250 0.125 N

No. 3
NaLiLa2N, relaxed, DFT PBE; space-group type = No. 123; formation energy (no corrections) = -0.3214 eV/atom; calculated total energy = -23.02 eV/cell; polymorph energy (0 for the lowest one) = 0.0 meV per atom
1.0
4.992 0.000 0.000
0.000 4.992 0.000
0.000 0.000 5.441
Na Li La N
1 1 2 1
direct
0.000 0.000 0.000 Na
0.500 0.500 0.000 Li
0.000 0.500 0.500 La
0.500 0.000 0.500 La
0.000 0.000 0.500 N